<w>
Density functional theory data (PBE-GGA) for a relaxed structure of CaTaAl.

SG ... I4mm
DOS(E_F) ... 2.8 states/eV per cell

a = 7.5502 Å, b = 7.5501 Å, c = 2.9439 Å
α = 78.76°, β = 78.76°, γ = 22.48°
Fractional positions:
Ca 0.3397 0.3397 0.6603
Al 0.0118 0.0118 0.9882
Ta 0.6485 0.6485 0.3515

<x>
Density functional theory data (PBE-GGA) for a relaxed structure of CaTaAl.

SG ... F-43m
DOS(E_F) ... 3.3 states/eV per cell

a = 4.7225 Å, b = 4.7225 Å, c = 4.7225 Å
α = 60.00°, β = 60.00°, γ = 60.00°
Fractional positions:
Ca 0.0000 0.0000 0.0000
Al 0.7500 0.7500 0.7500
Ta 0.5000 0.5000 0.5000

Which structure is most stable? <w>, by 673 meV/atom over the runner-up.

<w>
Density functional theory data (PBE-GGA) for a relaxed structure of CaTaAl.

SG ... Imm2
DOS(E_F) ... 2.1 states/eV per cell

a = 6.1287 Å, b = 6.1287 Å, c = 6.1287 Å
α = 151.83°, β = 142.35°, γ = 47.68°
Fractional positions:
Ca 0.3369 0.3369 0.0000
Al 0.0266 0.0266 0.0000
Ta 0.6365 0.6365 0.0000

<x>
Density functional theory data (PBE-GGA) for a relaxed structure of CaTaAl.

SG ... P3m1
DOS(E_F) ... 2.5 states/eV per cell

a = 3.1066 Å, b = 3.1066 Å, c = 7.6727 Å
α = 90.00°, β = 90.00°, γ = 120.00°
Fractional positions:
Ca 0.6667 0.3333 0.3311
Al 0.0000 0.0000 0.9801
Ta 0.3333 0.6667 0.6889

Which structure is most stable? <w>, by 62 meV/atom over the runner-up.

<w>
Density functional theory data (PBE-GGA) for a relaxed structure of CaTaAl3.

SG ... Pm-3m
DOS(E_F) ... 8.2 states/eV per cell

a = 4.9454 Å, b = 4.9454 Å, c = 4.9454 Å
α = 90.00°, β = 90.00°, γ = 90.00°
Fractional positions:
Ca 0.0000 0.0000 0.0000
Al 0.0000 0.5000 0.0000
Al 0.0000 0.0000 0.5000
Al 0.5000 0.0000 0.0000
Ta 0.5000 0.5000 0.5000

<x>
Density functional theory data (PBE-GGA) for a relaxed structure of CaTaAl3.

SG ... Pm-3m
DOS(E_F) ... 1.9 states/eV per cell

a = 5.0552 Å, b = 5.0552 Å, c = 5.0552 Å
α = 90.00°, β = 90.00°, γ = 90.00°
Fractional positions:
Ca 0.5000 0.5000 0.5000
Al 0.0000 0.5000 0.0000
Al 0.0000 0.0000 0.5000
Al 0.5000 0.0000 0.0000
Ta 0.0000 0.0000 0.0000

Which structure is most stable? <x>, by 1580 meV/atom over the runner-up.

<w>
Density functional theory data (PBE-GGA) for a relaxed structure of CaTa3Al.

SG ... Pm-3m
DOS(E_F) ... 5.4 states/eV per cell

a = 4.7257 Å, b = 4.7257 Å, c = 4.7257 Å
α = 90.00°, β = 90.00°, γ = 90.00°
Fractional positions:
Ca 0.0000 0.0000 0.0000
Al 0.5000 0.5000 0.5000
Ta 0.0000 0.5000 0.0000
Ta 0.0000 0.0000 0.5000
Ta 0.5000 0.0000 0.0000

<x>
Density functional theory data (PBE-GGA) for a relaxed structure of CaTa3Al.

SG ... Pm-3m
DOS(E_F) ... 2.3 states/eV per cell

a = 4.8731 Å, b = 4.8731 Å, c = 4.8731 Å
α = 90.00°, β = 90.00°, γ = 90.00°
Fractional positions:
Ca 0.5000 0.5000 0.5000
Al 0.0000 0.0000 0.0000
Ta 0.0000 0.5000 0.0000
Ta 0.0000 0.0000 0.5000
Ta 0.5000 0.0000 0.0000

Which structure is most stable? <x>, by 1251 meV/atom over the runner-up.

<w>
Density functional theory data (PBE-GGA) for a relaxed structure of CaTb2Al6.

SG ... Immm
DOS(E_F) ... 2.6 states/eV per cell

a = 4.4832 Å, b = 7.2322 Å, c = 7.9671 Å
α = 116.99°, β = 106.34°, γ = 90.00°
Fractional positions:
Ca 0.0000 0.5000 0.0000
Tb 0.8770 0.8770 0.7540
Tb 0.1230 0.1230 0.2460
Al 0.6871 0.8823 0.3741
Al 0.3129 0.1177 0.6259
Al 0.3129 0.5081 0.6259
Al 0.5000 0.1842 0.0000
Al 0.5000 0.8158 0.0000
Al 0.6871 0.4919 0.3741

<x>
Density functional theory data (PBE-GGA) for a relaxed structure of CaTb2Al6.

SG ... P6/mmm
DOS(E_F) ... 3.5 states/eV per cell

a = 3.5437 Å, b = 7.9502 Å, c = 7.9502 Å
α = 120.00°, β = 90.00°, γ = 90.00°
Fractional positions:
Ca 0.0000 0.0000 0.0000
Tb 0.0000 0.3333 0.6667
Tb 0.0000 0.6667 0.3333
Al 0.5000 0.3347 0.3347
Al 0.5000 0.6653 0.6653
Al 0.5000 0.0000 0.6653
Al 0.5000 0.6653 0.0000
Al 0.5000 0.3347 0.0000
Al 0.5000 0.0000 0.3347

Which structure is most stable? <x>, by 172 meV/atom over the runner-up.

<w>
Density functional theory data (PBE-GGA) for a relaxed structure of CaAlTc3.

SG ... Pm-3m
DOS(E_F) ... 4.9 states/eV per cell

a = 4.6073 Å, b = 4.6073 Å, c = 4.6073 Å
α = 90.00°, β = 90.00°, γ = 90.00°
Site moments in Bohr magnetons follow the coordinates.
Fractional positions:
Ca 0.0000 0.0000 0.0000  0.01
Tc 0.0000 0.5000 0.0000  0.93
Tc 0.0000 0.0000 0.5000  0.74
Tc 0.5000 0.0000 0.0000  0.90
Al 0.5000 0.5000 0.5000  -0.04

<x>
Density functional theory data (PBE-GGA) for a relaxed structure of CaAlTc3.

SG ... Pm-3m
DOS(E_F) ... 10.4 states/eV per cell

a = 4.6129 Å, b = 4.6129 Å, c = 4.6129 Å
α = 90.00°, β = 90.00°, γ = 90.00°
Site moments in Bohr magnetons follow the coordinates.
Fractional positions:
Ca 0.5000 0.5000 0.5000  0.01
Tc 0.0000 0.5000 0.0000  0.55
Tc 0.0000 0.0000 0.5000  0.66
Tc 0.5000 0.0000 0.0000  0.37
Al 0.0000 0.0000 0.0000  -0.02

Which structure is most stable? <x>, by 1285 meV/atom over the runner-up.

<w>
Density functional theory data (PBE-GGA) for a relaxed structure of CaAl2Tc.

SG ... Cm
DOS(E_F) ... 2.7 states/eV per cell

a = 5.2753 Å, b = 5.2753 Å, c = 5.2302 Å
α = 76.50°, β = 76.50°, γ = 31.03°
Fractional positions:
Ca 0.5007 0.5007 0.4908
Tc 0.7256 0.7256 0.8034
Al 0.0003 0.0003 0.9826
Al 0.2734 0.2734 0.2232

<x>
Density functional theory data (PBE-GGA) for a relaxed structure of CaAl2Tc.

SG ... C2/m
DOS(E_F) ... 2.6 states/eV per cell

a = 4.6507 Å, b = 4.6507 Å, c = 6.0298 Å
α = 83.62°, β = 83.62°, γ = 36.13°
Fractional positions:
Ca 0.2500 0.2500 0.2500
Tc 0.7500 0.7500 0.7500
Al 0.0143 0.0143 0.9367
Al 0.4857 0.4857 0.5633

<y>
Density functional theory data (PBE-GGA) for a relaxed structure of CaAl2Tc.

SG ... Amm2
DOS(E_F) ... 2.5 states/eV per cell

a = 3.8923 Å, b = 3.3009 Å, c = 6.4870 Å
α = 75.31°, β = 90.00°, γ = 90.00°
Fractional positions:
Ca 0.0000 0.4443 0.4865
Tc 0.5000 0.7541 0.8672
Al 0.0000 0.2157 0.9445
Al 0.5000 0.0859 0.2018

Which structure is most stable? <x>, by 30 meV/atom over the runner-up.

<w>
Density functional theory data (PBE-GGA) for a relaxed structure of CaAl2Tc.

SG ... Cmmm
DOS(E_F) ... 2.5 states/eV per cell

a = 6.4191 Å, b = 5.2145 Å, c = 2.8406 Å
α = 89.94°, β = 63.85°, γ = 119.70°
Fractional positions:
Ca 0.0000 0.5000 0.5000
Tc 0.5000 0.5000 0.0000
Al 0.0000 0.0000 0.0000
Al 0.5000 0.0000 0.5000

<x>
Density functional theory data (PBE-GGA) for a relaxed structure of CaAl2Tc.

SG ... F-43m
DOS(E_F) ... 4.1 states/eV per cell

a = 4.6444 Å, b = 4.6444 Å, c = 4.6444 Å
α = 60.00°, β = 60.00°, γ = 60.00°
Fractional positions:
Ca 0.5000 0.5000 0.5000
Tc 0.2500 0.2500 0.2500
Al 0.0000 0.0000 0.0000
Al 0.7500 0.7500 0.7500

Which structure is most stable? <w>, by 75 meV/atom over the runner-up.